(1)
Hf6Al2Co | PBE | relaxed

a b c (Å): 7.848 3.286 7.848
angles (deg): 90.00 120.00 90.00
Positions (direct):
Al: 0.667 0.500 0.333
Al: 0.333 0.500 0.667
Co: 0.000 0.000 0.000
Hf: 0.602 0.000 0.000
Hf: 0.251 0.500 0.000
Hf: 0.000 0.500 0.251
Hf: 0.398 0.000 0.398
Hf: 0.000 0.000 0.602
Hf: 0.749 0.500 0.749

Values from the calculation:
Density   11214 kg/m³
Symmetry   No. 189
E_tot   -8.59 eV/atom

(2)
SmLuZn2Sn2 | PBE | relaxed

a b c (Å): 4.495 4.495 15.909
angles (deg): 90.00 90.00 120.00
Positions (direct):
Lu: 0.000 0.000 0.250
Lu: 0.000 0.000 0.750
Sm: 0.000 0.000 0.000
Sm: 0.000 0.000 0.500
Sn: 0.667 0.333 0.117
Sn: 0.667 0.333 0.383
Sn: 0.333 0.667 0.617
Sn: 0.333 0.667 0.883
Zn: 0.333 0.667 0.164
Zn: 0.333 0.667 0.336
Zn: 0.667 0.333 0.664
Zn: 0.667 0.333 0.836

Values from the calculation:
Density   8275 kg/m³
Symmetry   No. 194
E_tot   -3.87 eV/atom
Distance to the lowest polymorph of the same formula   0 meV/atom

(3)
Zr4FeAsC2 | PBE | relaxed

a b c (Å): 3.388 3.388 13.021
angles (deg): 90.00 90.00 120.00
Positions (direct):
As: 0.000 0.000 0.000
C: 0.333 0.667 0.248
C: 0.333 0.667 0.752
Fe: 0.667 0.333 0.500
Zr: 0.667 0.333 0.152
Zr: 0.000 0.000 0.351
Zr: 0.000 0.000 0.649
Zr: 0.667 0.333 0.848

Values from the calculation:
Density   6669 kg/m³
Symmetry   No. 187
E_tot   -8.80 eV/atom

(4)
AlZnTc | PBE | relaxed

a b c (Å): 4.110 4.110 4.110
angles (deg): 60.00 60.00 60.00
Positions (direct):
Al: 0.000 0.000 0.000
Tc: 0.250 0.250 0.250
Zn: 0.750 0.750 0.750

Values from the calculation:
Density   6438 kg/m³
Symmetry   No. 216
E_tot   -4.79 eV/atom
Distance to the lowest polymorph of the same formula   0 meV/atom

(5)
Ba2CoSe3 | PBE | relaxed

a b c (Å): 9.091 4.449 17.641
angles (deg): 90.00 90.00 90.00
Positions (direct):
Ba: 0.257 0.250 0.046
Ba: 0.911 0.750 0.211
Ba: 0.411 0.750 0.289
Ba: 0.757 0.250 0.454
Ba: 0.243 0.750 0.546
Ba: 0.589 0.250 0.711
Ba: 0.089 0.250 0.789
Ba: 0.743 0.750 0.954
Co: 0.631 0.250 0.134
Co: 0.131 0.250 0.366
Co: 0.869 0.750 0.634
Co: 0.369 0.750 0.866
Se: 0.867 0.250 0.070
Se: 0.516 0.750 0.105
Se: 0.174 0.250 0.229
Se: 0.674 0.250 0.271
Se: 0.016 0.750 0.395
Se: 0.367 0.250 0.430
Se: 0.633 0.750 0.570
Se: 0.984 0.250 0.605
Se: 0.326 0.750 0.729
Se: 0.826 0.750 0.771
Se: 0.484 0.250 0.895
Se: 0.133 0.750 0.930

Values from the calculation:
Density   5311 kg/m³
Symmetry   No. 62
E_tot   -4.91 eV/atom

(6)
CoSbPdW | PBE | relaxed

a b c (Å): 4.461 4.461 4.461
angles (deg): 60.00 60.00 60.00
Positions (direct):
Co: 0.750 0.750 0.750
Pd: 0.500 0.500 0.500
Sb: 0.000 0.000 0.000
W: 0.250 0.250 0.250

Values from the calculation:
Density   12460 kg/m³
Symmetry   No. 216
E_tot   -7.00 eV/atom
Distance to the lowest polymorph of the same formula   0 meV/atom

(7)
HfTl2FeBr6 | PBE | relaxed

a b c (Å): 7.488 7.488 7.488
angles (deg): 60.00 60.00 60.00
Positions (direct):
Br: 0.751 0.751 0.249
Br: 0.751 0.249 0.249
Br: 0.249 0.751 0.249
Br: 0.249 0.249 0.751
Br: 0.249 0.751 0.751
Br: 0.751 0.249 0.751
Fe: 0.000 0.000 0.000
Hf: 0.500 0.500 0.500
Tl: 0.250 0.250 0.250
Tl: 0.750 0.750 0.750

Values from the calculation:
Density   6278 kg/m³
Symmetry   No. 225
E_tot   -3.97 eV/atom

(8)
PmCoBi | PBE | relaxed

a b c (Å): 4.676 4.676 4.676
angles (deg): 60.00 60.00 60.00
Positions (direct):
Bi: 0.250 0.250 0.250
Co: 0.000 0.000 0.000
Pm: 0.750 0.750 0.750

Values from the calculation:
Density   9487 kg/m³
Symmetry   No. 216
E_tot   -5.65 eV/atom
Distance to the lowest polymorph of the same formula   0 meV/atom